Entry 1:
Material: LaMg2Al
Method: DFT, meta-GGA SCAN
State: PBEsol geometry

Summary:
Its formation energy is -81 meV/atom. As for the total energy: -15.283 eV per atom. The value obtained for the spin magnetization is 0.0 μB/f.u.

```
data_LaMg2Al
_cell_length_a 3.2279
_cell_length_b 4.9759
_cell_length_c 6.1707
_cell_angle_alpha 90.00
_cell_angle_beta 99.59
_cell_angle_gamma 90.00
_space_group_name_H-M_alt 'P 1 2/m 1'
_space_group_IT_number 10
_space_group_name_Hall '-P 2y'
loop_
_atom_site_label
_atom_site_fract_x
_atom_site_fract_y
_atom_site_fract_z
_atom_site_occupancy
La1 0.0000 0.0000 0.0000 1
Mg1 0.3493 0.5000 0.7236 1
Al1 0.5000 0.0000 0.5000 1
```

---

Entry 2:
Material: ZnTeRu2O
Method: DFT, meta-GGA SCAN
State: PBEsol geometry

Summary:
As for the total energy: -24.813 eV per atom. The value obtained for the spin magnetization is 0.0 μB/f.u.

```
data_ZnTeRu2O
_cell_length_a 4.0599
_cell_length_b 4.0599
_cell_length_c 4.5015
_cell_angle_alpha 90.00
_cell_angle_beta 90.00
_cell_angle_gamma 90.00
_space_group_name_H-M_alt 'P 4/m m m'
_space_group_IT_number 123
_space_group_name_Hall '-P 4 2'
loop_
_atom_site_label
_atom_site_fract_x
_atom_site_fract_y
_atom_site_fract_z
_atom_site_occupancy
Zn1 0.0000 0.0000 0.0000 1
Te1 0.5000 0.5000 0.0000 1
Ru1 0.0000 0.5000 0.5000 1
O1 0.5000 0.5000 0.5000 1
```

---

Entry 3:
Material: CsTa2ZnRe
Method: DFT, meta-GGA SCAN
State: PBEsol geometry

Summary:
Its formation energy is 2712 meV/atom. As for the total energy: -48.406 eV per atom. The value obtained for the spin magnetization is 1.2 μB/f.u.

```
data_CsTa2ZnRe
_cell_length_a 4.7766
_cell_length_b 4.7766
_cell_length_c 5.3287
_cell_angle_alpha 90.00
_cell_angle_beta 90.00
_cell_angle_gamma 90.00
_space_group_name_H-M_alt 'P 4/m m m'
_space_group_IT_number 123
_space_group_name_Hall '-P 4 2'
loop_
_atom_site_label
_atom_site_fract_x
_atom_site_fract_y
_atom_site_fract_z
_atom_site_occupancy
Cs1 0.0000 0.0000 0.0000 1
Ta1 0.0000 0.5000 0.5000 1
Zn1 0.0000 0.0000 0.5000 1
Re1 0.5000 0.5000 0.0000 1
```

---

Entry 4:
Material: SrTcCl2
Method: DFT, meta-GGA SCAN
State: PBEsol geometry

Summary:
As for the total energy: -18.903 eV per atom. The value obtained for the spin magnetization is 0.0 μB/f.u.

```
data_SrTcCl2
_cell_length_a 3.7467
_cell_length_b 3.7467
_cell_length_c 24.1731
_cell_angle_alpha 90.00
_cell_angle_beta 90.00
_cell_angle_gamma 120.00
_space_group_name_H-M_alt 'R 3 m'
_space_group_IT_number 160
_space_group_name_Hall 'R 3 -2"'
loop_
_atom_site_label
_atom_site_fract_x
_atom_site_fract_y
_atom_site_fract_z
_atom_site_occupancy
Sr1 0.0000 0.0000 0.0000 1
Tc1 0.0000 0.0000 0.7733 1
Cl1 0.0000 0.0000 0.2592 1
Cl2 0.0000 0.0000 0.4692 1
```

---

Entry 5:
Material: Ca3TaS
Method: DFT, meta-GGA SCAN
State: PBEsol geometry

Summary:
As for the total energy: -21.091 eV per atom. The value obtained for the spin magnetization is 4.6 μB/f.u.

```
data_Ca3TaS
_cell_length_a 5.2798
_cell_length_b 5.2798
_cell_length_c 5.2798
_cell_angle_alpha 90.00
_cell_angle_beta 90.00
_cell_angle_gamma 90.00
_space_group_name_H-M_alt 'P m -3 m'
_space_group_IT_number 221
_space_group_name_Hall '-P 4 2 3'
loop_
_atom_site_label
_atom_site_fract_x
_atom_site_fract_y
_atom_site_fract_z
_atom_site_occupancy
Ca1 0.0000 0.0000 0.5000 1
Ta1 0.5000 0.5000 0.5000 1
S1 0.0000 0.0000 0.0000 1
```

---

Entry 6:
Material: HgRu2Pt
Method: DFT, meta-GGA SCAN
State: PBEsol geometry

Summary:
Its formation energy is 158 meV/atom. As for the total energy: -51.845 eV per atom. The value obtained for the spin magnetization is 0.0 μB/f.u.

```
data_HgRu2Pt
_cell_length_a 2.7685
_cell_length_b 2.7685
_cell_length_c 7.9720
_cell_angle_alpha 90.00
_cell_angle_beta 90.00
_cell_angle_gamma 90.00
_space_group_name_H-M_alt 'P 4 m m'
_space_group_IT_number 99
_space_group_name_Hall 'P 4 -2'
loop_
_atom_site_label
_atom_site_fract_x
_atom_site_fract_y
_atom_site_fract_z
_atom_site_occupancy
Hg1 0.0000 0.0000 0.0000 1
Ru1 0.0000 0.0000 0.5219 1
Ru2 0.5000 0.5000 0.7274 1
Pt1 0.5000 0.5000 0.2792 1
```

---

Entry 7:
Material: Ca5Si4Au6
Method: DFT, meta-GGA SCAN
State: PBEsol geometry

Summary:
As for the total energy: -34.400 eV per atom. The value obtained for the spin magnetization is 0.0 μB/f.u.

```
data_Ca5Si4Au6
_cell_length_a 10.3965
_cell_length_b 4.4178
_cell_length_c 26.2353
_cell_angle_alpha 90.00
_cell_angle_beta 97.18
_cell_angle_gamma 90.00
_space_group_name_H-M_alt 'C 1 m 1'
_space_group_IT_number 8
_space_group_name_Hall 'C -2y'
loop_
_atom_site_label
_atom_site_fract_x
_atom_site_fract_y
_atom_site_fract_z
_atom_site_occupancy
Ca1 0.0000 0.0000 0.0000 1
Ca2 0.0368 0.5000 0.6745 1
Ca3 0.0987 0.5000 0.1978 1
Ca4 0.1392 0.0000 0.8734 1
Ca5 0.1904 0.0000 0.3952 1
Ca6 0.2456 0.5000 0.0776 1
Ca7 0.2894 0.5000 0.5927 1
Ca8 0.3438 0.0000 0.2801 1
Ca9 0.3886 0.0000 0.7950 1
Ca10 0.4427 0.5000 0.4780 1
Si1 0.0409 0.0000 0.2860 1
Si2 0.0903 0.0000 0.7506 1
Si3 0.1392 0.5000 0.4837 1
Si4 0.2080 0.5000 0.9571 1
Si5 0.2367 0.0000 0.6807 1
Si6 0.3060 0.0000 0.1627 1
Si7 0.3952 0.5000 0.3574 1
Si8 0.4941 0.0000 0.5543 1
Au1 0.0800 0.0000 0.5949 1
Au2 0.0814 0.0000 0.1196 1
Au3 0.1559 0.5000 0.3131 1
Au4 0.1710 0.5000 0.7872 1
Au5 0.2559 0.0000 0.5093 1
Au6 0.2832 0.0000 0.9887 1
Au7 0.3378 0.5000 0.8792 1
Au8 0.3530 0.5000 0.7069 1
Au9 0.3907 0.5000 0.1997 1
Au10 0.4400 0.0000 0.0849 1
Au11 0.4808 0.0000 0.3982 1
Au12 0.4816 0.0000 0.9169 1
```

---

Entry 8:
Material: Cr3Re
Method: DFT, meta-GGA SCAN
State: PBEsol geometry

Summary:
Its formation energy is 2 meV/atom. As for the total energy: -31.561 eV per atom. The value obtained for the spin magnetization is 0.0 μB/f.u.

```
data_Cr3Re
_cell_length_a 8.1490
_cell_length_b 8.1490
_cell_length_c 2.5434
_cell_angle_alpha 90.00
_cell_angle_beta 90.00
_cell_angle_gamma 120.00
_space_group_name_H-M_alt 'R -3 m'
_space_group_IT_number 166
_space_group_name_Hall '-R 3 2"'
loop_
_atom_site_label
_atom_site_fract_x
_atom_site_fract_y
_atom_site_fract_z
_atom_site_occupancy
Cr1 0.0000 0.5000 0.0000 1
Re1 0.0000 0.0000 0.0000 1
```